1.
The following is a PBE-GGA calculation of La2Tb2PrSm2 after structural relaxation, from Alexandria via LeMat-Bulk.

As for the density of states at the Fermi level: 12.06 states/eV/f.u. Its crystal system is monoclinic. The energy relative to the elements is 0.02 eV per atom.

The structure belongs to space group C2/m (No. 12); the cell edges are 11.5701, 5.1628 and 8.1943 Å and the angles 90.00°, 97.97° and 90.00°. The inequivalent atoms are La at (0.1426, 0.0000, 0.4275), Tb at (0.0712, 0.5000, 0.7159), Pr at (0.0000, 0.0000, 0.0000) and Sm at (0.2155, 0.5000, 0.1410).

2.
The following is a PBE-GGA calculation of PrNd5Ho after structural relaxation, from Alexandria via LeMat-Bulk.

As for the density of states at the Fermi level: 9.86 states/eV/f.u. Its crystal system is monoclinic. The energy relative to the elements is 0.06 eV per atom.

The structure belongs to space group P2_1/m (No. 11); the cell edges are 9.5852, 3.7022 and 14.3546 Å and the angles 90.00°, 105.05° and 90.00°. The inequivalent atoms are Pr at (0.1018, 0.2500, 0.1172), Nd at (0.0091, 0.7500, 0.3794), Nd at (0.1988, 0.2500, 0.8764), Nd at (0.3335, 0.2500, 0.5084), Nd at (0.3513, 0.7500, 0.7213), Nd at (0.4087, 0.7500, 0.0770) and Ho at (0.3383, 0.7500, 0.3027).

3.
The following is a PBE-GGA calculation of Sr2IrW after structural relaxation, from Alexandria via LeMat-Bulk.

As for the density of states at the Fermi level: 3.71 states/eV/f.u. Its crystal system is trigonal. The calculation puts the energy above the most stable polymorph in this dataset at 0.7314 eV/atom. The energy relative to the elements is 1.07 eV per atom.

The structure belongs to space group R-3m (No. 166, hexagonal axes); the cell edges are 3.2019, 3.2019 and 30.7808 Å and the angles 90.00°, 90.00° and 120.00°. The inequivalent atoms are Sr at (0.0000, 0.0000, 0.2435), Ir at (0.0000, 0.0000, 0.5000) and W at (0.0000, 0.0000, 0.0000).

4.
The following is a PBE-GGA calculation of LiTlAs2 after structural relaxation, from Alexandria via LeMat-Bulk.

As for the density of states at the Fermi level: 2.24 states/eV/f.u. Its crystal system is orthorhombic. The energy relative to the elements is -0.17 eV per atom.

The structure belongs to space group Imm2 (No. 44); the cell edges are 3.6221, 4.3056 and 12.4856 Å and the angles 90.00°, 90.00° and 90.00°. The inequivalent atoms are Li at (0.0000, 0.0000, 0.0000), Tl at (0.0000, 0.5000, 0.7653), As at (0.0000, 0.0000, 0.4883) and As at (0.0000, 0.5000, 0.1305).

Copy entry 3 word for word.
The following is a PBE-GGA calculation of Sr2IrW after structural relaxation, from Alexandria via LeMat-Bulk.

As for the density of states at the Fermi level: 3.71 states/eV/f.u. Its crystal system is trigonal. The calculation puts the energy above the most stable polymorph in this dataset at 0.7314 eV/atom. The energy relative to the elements is 1.07 eV per atom.

The structure belongs to space group R-3m (No. 166, hexagonal axes); the cell edges are 3.2019, 3.2019 and 30.7808 Å and the angles 90.00°, 90.00° and 120.00°. The inequivalent atoms are Sr at (0.0000, 0.0000, 0.2435), Ir at (0.0000, 0.0000, 0.5000) and W at (0.0000, 0.0000, 0.0000).